Below is an optimized crystal structure of PmHIr, with properties calculated at the PBE level.

Cell and atoms, written as POSCAR:
```
PmHIr
1.0
-1.997 1.997 3.538
1.997 -1.997 3.538
1.997 1.997 -3.538
Pm H Ir
1 1 1
Direct
0.000 0.000 0.000
0.331 0.331 0.000
0.561 0.561 0.000
```

Summary:
The value obtained for the density of states at the Fermi level is 1.4 states/eV/f.u. Its total magnetization is 0.00 μB per formula unit. The excess energy over the best structure of this formula in the dataset is 0.0247 eV per atom. The space group is I4mm.